[1]
{"formula": "YMg2ZnAg4", "functional": "PBE", "state": "relaxed", "lattice_angstrom": [[-0.742, 2.820, 3.670], [-2.354, -1.581, 3.732], [6.082, -2.146, 5.871]], "species": ["Y", "Mg", "Mg", "Zn", "Ag", "Ag", "Ag", "Ag"], "frac_coords": [[0.000, 0.000, 0.000], [0.755, 0.755, 0.735], [0.245, 0.245, 0.265], [0.500, 0.500, 0.500], [0.393, 0.393, 0.822], [0.872, 0.872, 0.385], [0.128, 0.128, 0.615], [0.607, 0.607, 0.178]], "formation_enthalpy_0k_mev_per_atom": -189, "magmom_total_mub_per_cell": 0.00, "volume_a3_per_fu": 157.79}

[2]
{"formula": "ScCrFe4", "functional": "PBE", "state": "relaxed", "lattice_angstrom": [[0.000, 3.382, 3.382], [3.382, 0.000, 3.382], [3.382, 3.382, 0.000]], "species": ["Sc", "Cr", "Fe", "Fe", "Fe", "Fe"], "frac_coords": [[0.750, 0.750, 0.750], [0.000, 0.000, 0.000], [0.877, 0.374, 0.374], [0.374, 0.374, 0.877], [0.374, 0.877, 0.374], [0.374, 0.374, 0.374]], "formation_enthalpy_0k_mev_per_atom": 36, "magmom_total_mub_per_cell": 8.01, "volume_a3_per_fu": 77.34}

[3]
{"formula": "Tb3SnRu2", "functional": "PBE", "state": "relaxed", "lattice_angstrom": [[-2.050, 1.618, 2.272], [1.123, -2.102, 2.510], [8.267, 7.201, 2.330]], "species": ["Tb", "Tb", "Tb", "Sn", "Ru", "Ru"], "frac_coords": [[0.000, 0.000, 0.000], [0.000, 0.000, 0.702], [0.000, 0.000, 0.298], [0.500, 0.500, 0.500], [0.500, 0.500, 0.845], [0.500, 0.500, 0.155]], "formation_enthalpy_0k_mev_per_atom": -454, "magmom_total_mub_per_cell": 0.00, "volume_a3_per_fu": 134.26}

[4]
{"formula": "YHo4Er15", "functional": "PBE", "state": "relaxed", "lattice_angstrom": [[4.968, 0.000, 0.000], [0.000, 4.968, 0.000], [0.000, 0.000, 24.841]], "species": ["Y", "Ho", "Ho", "Ho", "Ho", "Er", "Er", "Er", "Er", "Er", "Er", "Er", "Er", "Er", "Er", "Er", "Er", "Er", "Er", "Er"], "frac_coords": [[0.000, 0.000, 0.000], [0.000, 0.000, 0.200], [0.000, 0.000, 0.400], [0.000, 0.000, 0.600], [0.000, 0.000, 0.800], [0.500, 0.500, 0.000], [0.500, 0.500, 0.200], [0.500, 0.500, 0.400], [0.500, 0.500, 0.600], [0.500, 0.500, 0.800], [0.500, 0.000, 0.101], [0.500, 0.000, 0.300], [0.500, 0.000, 0.500], [0.500, 0.000, 0.700], [0.500, 0.000, 0.899], [0.000, 0.500, 0.101], [0.000, 0.500, 0.300], [0.000, 0.500, 0.500], [0.000, 0.500, 0.700], [0.000, 0.500, 0.899]], "formation_enthalpy_0k_mev_per_atom": 23, "magmom_total_mub_per_cell": 0.00, "volume_a3_per_fu": 613.10}